No. 1
Ba2In3GePd4 after structural relaxation. Source: Alexandria, functional GGA-PBE.

Calculated formation energy in eV per atom: -0.59
Uncorrected energy in eV per atom: -4.331

a b c (Å): 4.8140 4.8140 10.5727
angles (deg): 90.00 90.00 90.00
Space group P-4m2 (No. 115)
One atom of each set of equivalent atoms:
Ba  0.0000  0.5000  0.2473 [2 per cell]
In  0.0000  0.5000  0.8770 [2 per cell]
In  0.5000  0.5000  0.5000 [1 per cell]
Ge  0.0000  0.0000  0.5000 [1 per cell]
Pd  0.0000  0.0000  0.0000 [1 per cell]
Pd  0.0000  0.5000  0.6154 [2 per cell]
Pd  0.5000  0.5000  0.0000 [1 per cell]



No. 2
Ba2InGePd after structural relaxation. Source: Alexandria, functional GGA-PBE.

Calculated formation energy in eV per atom: -0.39
Uncorrected energy in eV per atom: -3.665

a b c (Å): 6.1794 6.1794 4.7732
angles (deg): 90.00 90.00 90.00
Space group P4/mmm (No. 123)
One atom of each set of equivalent atoms:
Ba  0.0000  0.5000  0.0000 [2 per cell]
In  0.0000  0.0000  0.5000 [1 per cell]
Ge  0.5000  0.5000  0.5000 [1 per cell]
Pd  0.5000  0.5000  0.0000 [1 per cell]



No. 3
BaPmInGe after structural relaxation. Source: Alexandria, functional GGA-PBE.

Calculated formation energy in eV per atom: -0.33
Uncorrected energy in eV per atom: -3.835

a b c (Å): 7.9029 7.9029 7.9029
angles (deg): 90.00 90.00 90.00
Space group F-43m (No. 216)
One atom of each set of equivalent atoms:
Ba  0.0000  0.0000  0.0000 [4 per cell]
Pm  0.0000  0.0000  0.5000 [4 per cell]
In  0.2500  0.2500  0.2500 [4 per cell]
Ge  0.2500  0.2500  0.7500 [4 per cell]



No. 4
Ba2InGe3Pt4 after structural relaxation. Source: Alexandria, functional GGA-PBE.

Calculated formation energy in eV per atom: -0.72
Uncorrected energy in eV per atom: -5.183

a b c (Å): 4.6121 4.6121 10.4522
angles (deg): 90.00 90.00 90.00
Space group P-4m2 (No. 115)
One atom of each set of equivalent atoms:
Ba  0.0000  0.5000  0.2457 [2 per cell]
In  0.0000  0.0000  0.5000 [1 per cell]
Ge  0.0000  0.5000  0.8847 [2 per cell]
Ge  0.5000  0.5000  0.5000 [1 per cell]
Pt  0.0000  0.0000  0.0000 [1 per cell]
Pt  0.0000  0.5000  0.6378 [2 per cell]
Pt  0.5000  0.5000  0.0000 [1 per cell]



- What is the uncorrected energy in the first record?
  -4.331 eV per atom



- uncorrected energy of number 1 (Ba2In3GePd4)?
  -4.331 eV per atom



- The lowest uncorrected energy belongs to which entry?
  Ba2InGe3Pt4